Computed, not measured: ZrZnRe2 after structural relaxation at the GGA-PBE level of DFT.

Summary:
As for the symmetry: No. 166. The calculation puts the total energy at -100.2 eV/cell. The calculation puts the energy relative to the elements at 0.3288 eV per atom.

abc: 2.805 2.805 28.956
angles: 90.00 90.00 120.00
Positions (direct):
Zr: 0.000 0.000 0.000
Zr: 0.333 0.667 0.667
Zr: 0.667 0.333 0.333
Zn: 0.000 0.000 0.500
Zn: 0.333 0.667 0.167
Zn: 0.667 0.333 0.833
Re: 0.000 0.000 0.244
Re: 0.000 0.000 0.756
Re: 0.333 0.667 0.423
Re: 0.333 0.667 0.910
Re: 0.667 0.333 0.090
Re: 0.667 0.333 0.577